# 1
Entry from Alexandria: SrZn11Ir after structural relaxation (PBE).

Geometry as extended XYZ:
```
13
Lattice="-4.704 1.176 1.576 -3.051 -5.430 3.131 0.053 2.537 6.510" Properties=species:S:1:pos:R:3 pbc="T T T"
Zn -2.025 -2.559 4.307
Zn -5.713 -1.388 8.566
Zn -2.325 1.856 4.043
Sr 0.000 0.000 0.000
Ir -3.877 -2.127 2.354
Zn -1.525 -2.715 1.566
Zn -4.659 -3.027 4.692
Zn -5.677 0.841 6.910
Zn -3.653 -1.385 6.818
Zn -3.043 1.309 6.525
Zn -1.988 -0.330 2.651
Zn 0.026 1.268 3.255
Zn -4.049 -0.333 4.400
```

Magnetic moment (μB/cell): 0.00
E_form (eV/atom): -0.1701
Calculated total energy (eV per cell): -26.77

# 2
Entry from Alexandria: Pa2TiSnN5 after structural relaxation (PBE).

Geometry as extended XYZ:
```
18
Lattice="-2.060 2.565 0.618 -2.692 -5.375 4.274 5.922 2.958 7.452" Properties=species:S:1:pos:R:3 pbc="T T T"
Pa 0.539 -0.338 3.196
N -0.463 -0.616 1.012
N 1.266 1.845 5.623
N 2.457 2.074 8.638
N 1.706 -0.414 7.401
N -2.439 -2.868 3.772
Pa -2.404 -1.029 5.322
Ti 4.166 1.034 9.586
Pa 0.771 0.556 9.323
Pa 3.281 1.030 6.653
N 0.931 -1.720 10.234
Sn -0.785 -2.585 8.110
Sn 4.733 4.121 7.729
N -0.973 -0.538 8.053
N -0.030 -1.298 5.287
N 0.498 1.997 2.435
N -1.786 -0.062 3.370
Ti -0.057 0.582 6.455
```

Magnetic moment (μB/cell): 0.00
Calculated total energy (eV per cell): -162.93

# 3
Entry from Alexandria: Hf2ScZn after structural relaxation (PBE).

Geometry as extended XYZ:
```
4
Lattice="3.149 0.000 0.000 0.000 3.149 0.000 0.000 0.000 8.336" Properties=species:S:1:pos:R:3 pbc="T T T"
Hf 0.000 0.000 6.456
Hf 0.000 0.000 1.881
Zn 1.575 1.575 0.000
Sc 1.575 1.575 4.168
```

Magnetic moment (μB/cell): 0.00
E_form (eV/atom): -0.0536
Calculated total energy (eV per cell): -27.73

# 4
Entry from Alexandria: Tb2DyEr after structural relaxation (PBE).

Geometry as extended XYZ:
```
4
Lattice="-0.578 -0.936 -3.359 -2.888 -1.779 0.993 -5.525 8.219 -1.340" Properties=species:S:1:pos:R:3 pbc="T T T"
Er -1.733 -1.358 -1.183
Tb -4.150 6.174 -1.007
Tb -1.375 2.045 -0.333
Dy -4.495 2.752 -1.853
```

Magnetic moment (μB/cell): 0.00
E_form (eV/atom): 0.0186
Calculated total energy (eV per cell): -18.35
Energy above the lowest structure with this stoichiometry (meV per atom): 11

# 5
Entry from Alexandria: PaAlPt after structural relaxation (PBE).

Geometry as extended XYZ:
```
3
Lattice="-3.095 2.492 -2.333 -4.325 0.342 1.552 -1.519 3.992 1.729" Properties=species:S:1:pos:R:3 pbc="T T T"
Pt -2.235 1.707 0.237
Al 0.000 0.000 0.000
Pa -4.470 3.413 0.474
```

Magnetic moment (μB/cell): 0.00
E_form (eV/atom): -0.6987
Calculated total energy (eV per cell): -21.38

# 6
Entry from Alexandria: SrTm2TcN4 after structural relaxation (PBE).

Geometry as extended XYZ:
```
16
Lattice="-3.297 -0.503 -0.675 1.386 -3.849 4.675 -2.906 8.499 7.859" Properties=species:S:1:pos:R:3 pbc="T T T"
Tm -1.770 1.554 7.482
Tc -0.826 0.576 3.602
N -3.547 2.952 6.546
N -1.270 1.194 5.313
Sr -2.217 5.788 6.514
N 0.000 0.000 0.000
Tm -3.048 2.592 4.377
N -4.363 5.337 8.751
N -0.455 -1.191 3.107
N -1.453 4.249 3.930
Tc -3.992 3.570 8.256
Tm -2.981 5.095 10.757
N -2.424 1.108 2.436
Sr -2.600 -1.641 5.344
Tm -1.837 -0.949 1.102
N -2.394 3.038 9.423
```

Magnetic moment (μB/cell): 0.00
Calculated total energy (eV per cell): -125.27

# 7
Entry from Alexandria: Cs5TeS5 after structural relaxation (PBE).

Geometry as extended XYZ:
```
11
Lattice="-4.928 -4.116 1.386 1.868 0.237 -8.216 5.978 -5.690 4.354" Properties=species:S:1:pos:R:3 pbc="T T T"
Cs 0.649 -2.240 -4.343
Cs 3.869 -5.135 -1.495
Cs -0.951 -4.433 -0.980
Te 0.000 0.000 0.000
S -2.206 -4.084 -4.404
S -2.464 -2.058 0.693
S 1.480 -2.024 -0.746
S 1.438 -7.545 -1.730
S 5.124 -5.484 1.929
Cs 2.989 -2.845 2.177
Cs 2.269 -7.329 1.867
```

Magnetic moment (μB/cell): 0.60
Calculated total energy (eV per cell): -34.91

# 8
Entry from Alexandria: TbB4Rh8 after structural relaxation (PBE).

Geometry as extended XYZ:
```
13
Lattice="6.560 0.000 0.000 3.280 5.681 0.000 3.280 1.894 5.356" Properties=species:S:1:pos:R:3 pbc="T T T"
Rh 7.858 4.537 3.208
B 8.285 2.791 1.974
B 6.560 3.787 4.791
Rh 5.261 4.537 3.208
Rh 3.280 3.569 0.747
B 4.834 2.791 1.974
B 6.560 5.780 1.974
Rh 4.731 1.056 0.747
Tb 9.839 5.681 4.017
Rh 6.560 2.288 3.208
Rh 3.280 1.894 3.116
Rh 1.829 1.056 0.747
Rh 6.560 3.787 1.087
```

Magnetic moment (μB/cell): 0.00
E_form (eV/atom): 0.1201
Calculated total energy (eV per cell): -88.59

> calculated total energy of number 6 (SrTm2TcN4)?

-125.27 eV per cell

Copy entry 6 word for word.
Entry from Alexandria: SrTm2TcN4 after structural relaxation (PBE).

Geometry as extended XYZ:
```
16
Lattice="-3.297 -0.503 -0.675 1.386 -3.849 4.675 -2.906 8.499 7.859" Properties=species:S:1:pos:R:3 pbc="T T T"
Tm -1.770 1.554 7.482
Tc -0.826 0.576 3.602
N -3.547 2.952 6.546
N -1.270 1.194 5.313
Sr -2.217 5.788 6.514
N 0.000 0.000 0.000
Tm -3.048 2.592 4.377
N -4.363 5.337 8.751
N -0.455 -1.191 3.107
N -1.453 4.249 3.930
Tc -3.992 3.570 8.256
Tm -2.981 5.095 10.757
N -2.424 1.108 2.436
Sr -2.600 -1.641 5.344
Tm -1.837 -0.949 1.102
N -2.394 3.038 9.423
```

Magnetic moment (μB/cell): 0.00
Calculated total energy (eV per cell): -125.27

> Among the records above, which one has the highest calculated total energy?

Tb2DyEr